Computed, not measured: a relaxed structure of LaPm3ErSc at the GGA-PBE level of DFT.

The energy relative to the elements is 49 meV per atom. Its density of states at the Fermi level is 20.92 states/eV per cell.

It has space group P2_1/m (No. 11), with a = 7.9385 Å, b = 5.1071 Å, c = 10.1673 Å, α = 90.00°, β = 108.88° and γ = 90.00°. Symmetry generates all atoms from La at (0.1779, 0.2500, 0.2978), Pm at (0.1722, 0.2500, 0.7902), Pm at (0.1718, 0.7500, 0.0437), Pm at (0.1782, 0.7500, 0.5437), Er at (0.4991, 0.7500, 0.8743) and Sc at (0.5001, 0.2500, 0.6251).

***

Computed, not measured: a relaxed structure of LaPmEr2Sc at the GGA-PBE level of DFT.

The energy relative to the elements is 56 meV per atom. Its density of states at the Fermi level is 17.40 states/eV per cell.

It has space group P2_1/m (No. 11), with a = 7.8573 Å, b = 5.0388 Å, c = 7.9099 Å, α = 90.00°, β = 90.25° and γ = 90.00°. Symmetry generates all atoms from La at (0.2426, 0.2500, 0.2392), Pm at (0.4456, 0.2500, 0.6532), Er at (0.1470, 0.7500, 0.5470), Er at (0.3389, 0.7500, 0.9462) and Sc at (0.0489, 0.2500, 0.8481).

***

Computed, not measured: a relaxed structure of LaPm2Er4Sc at the GGA-PBE level of DFT.

The energy relative to the elements is 128 meV per atom. Its density of states at the Fermi level is 16.79 states/eV per cell.

It has space group P4/mmm (No. 123), with a = 5.8005 Å, b = 5.8005 Å, c = 7.5364 Å, α = 90.00°, β = 90.00° and γ = 90.00°. Symmetry generates all atoms from La at (0.0000, 0.0000, 0.0000), Pm at (0.0000, 0.0000, 0.5000), Pm at (0.5000, 0.5000, 0.5000), Er at (0.0000, 0.5000, 0.2454) and Sc at (0.5000, 0.5000, 0.0000).

***

Computed, not measured: a relaxed structure of LaPm5Er2Sc at the GGA-PBE level of DFT.

The energy relative to the elements is 167 meV per atom. Its density of states at the Fermi level is 57.27 states/eV per cell.

It has space group Cmc2_1 (No. 36), with a = 5.6640 Å, b = 20.0483 Å, c = 10.5042 Å, α = 90.00°, β = 90.00° and γ = 90.00°. Symmetry generates all atoms from La at (0.0000, 0.0866, 0.0000), Pm at (0.0000, 0.0157, 0.2856), Pm at (0.0000, 0.1249, 0.5637), Pm at (0.0000, 0.2021, 0.2511), Pm at (0.0000, 0.2230, 0.8664), Pm at (0.0000, 0.4819, 0.5634), Er at (0.0000, 0.3845, 0.2798), Er at (0.0000, 0.3880, 0.8565) and Sc at (0.0000, 0.3045, 0.5584).

***

Computed, not measured: a relaxed structure of LaPmErSc at the GGA-PBE level of DFT.

The energy relative to the elements is 87 meV per atom. Its density of states at the Fermi level is 26.03 states/eV per cell.

It has space group F-43m (No. 216), with a = 7.9739 Å, b = 7.9739 Å, c = 7.9739 Å, α = 90.00°, β = 90.00° and γ = 90.00°. Symmetry generates all atoms from La at (0.0000, 0.0000, 0.0000), Pm at (0.0000, 0.0000, 0.5000), Er at (0.2500, 0.2500, 0.2500) and Sc at (0.2500, 0.2500, 0.7500).

***

Computed, not measured: a relaxed structure of La2PmErSe5 at the GGA-PBE level of DFT.

For the uncorrected formation energy, the calculation gives -1.456 eV/atom. Its density of states at the Fermi level is 6.49 states/eV per cell.

It has space group P4/mmm (No. 123), with a = 5.0963 Å, b = 5.0963 Å, c = 10.9191 Å, α = 90.00°, β = 90.00° and γ = 90.00°. Symmetry generates all atoms from La at (0.0000, 0.0000, 0.1896), Pm at (0.5000, 0.5000, 0.5000), Er at (0.5000, 0.5000, 0.0000), Se at (0.0000, 0.0000, 0.5000), Se at (0.0000, 0.5000, 0.0000) and Se at (0.5000, 0.5000, 0.2505).

***

Computed, not measured: a relaxed structure of La2PmErSe4 at the GGA-PBE level of DFT.

For the uncorrected formation energy, the calculation gives -1.884 eV/atom. Its density of states at the Fermi level is 5.19 states/eV per cell.

It has space group P2/m (No. 10), with a = 7.2916 Å, b = 4.1627 Å, c = 7.3764 Å, α = 90.00°, β = 108.86° and γ = 90.00°. Symmetry generates all atoms from La at (0.0000, 0.0000, 0.0000), La at (0.5000, 0.5000, 0.0000), Pm at (0.0000, 0.5000, 0.5000), Er at (0.5000, 0.0000, 0.5000), Se at (0.2528, 0.0000, 0.7367) and Se at (0.2634, 0.5000, 0.2683).

***

Computed, not measured: a relaxed structure of LaPmEr2Se4 at the GGA-PBE level of DFT.

For the uncorrected formation energy, the calculation gives -1.813 eV/atom. Its density of states at the Fermi level is 4.07 states/eV per cell.

It has space group P2/m (No. 10), with a = 7.0856 Å, b = 4.0685 Å, c = 7.3765 Å, α = 90.00°, β = 108.53° and γ = 90.00°. Symmetry generates all atoms from La at (0.0000, 0.0000, 0.0000), Pm at (0.5000, 0.5000, 0.0000), Er at (0.0000, 0.5000, 0.5000), Er at (0.5000, 0.0000, 0.5000), Se at (0.2466, 0.0000, 0.7319) and Se at (0.2601, 0.5000, 0.2707).

***

Computed, not measured: a relaxed structure of La3Pm2ErSe6 at the GGA-PBE level of DFT.

For the uncorrected formation energy, the calculation gives -1.901 eV/atom. Its density of states at the Fermi level is 12.49 states/eV per cell.

It has space group C2/m (No. 12), with a = 7.3027 Å, b = 12.6850 Å, c = 7.3383 Å, α = 90.00°, β = 109.44° and γ = 90.00°. Symmetry generates all atoms from La at (0.0000, 0.0000, 0.0000), La at (0.0000, 0.3291, 0.0000), Pm at (0.0000, 0.1667, 0.5000), Er at (0.0000, 0.5000, 0.5000), Se at (0.2404, 0.3379, 0.7357) and Se at (0.2441, 0.5000, 0.2602).

***

Computed, not measured: a relaxed structure of LaPm2ErSe5 at the GGA-PBE level of DFT.

For the uncorrected formation energy, the calculation gives -1.344 eV/atom. Its density of states at the Fermi level is 7.57 states/eV per cell.

It has space group P4/mmm (No. 123), with a = 5.1126 Å, b = 5.1126 Å, c = 11.0211 Å, α = 90.00°, β = 90.00° and γ = 90.00°. Symmetry generates all atoms from La at (0.0000, 0.0000, 0.0000), Pm at (0.5000, 0.5000, 0.3348), Er at (0.0000, 0.0000, 0.5000), Se at (0.0000, 0.0000, 0.2524), Se at (0.0000, 0.5000, 0.5000) and Se at (0.5000, 0.5000, 0.0000).

***

Computed, not measured: a relaxed structure of La2PmEr3Se6 at the GGA-PBE level of DFT.

For the uncorrected formation energy, the calculation gives -1.828 eV/atom. Its density of states at the Fermi level is 10.84 states/eV per cell.

It has space group C2/m (No. 12), with a = 18.2631 Å, b = 4.0915 Å, c = 8.4522 Å, α = 90.00°, β = 105.40° and γ = 90.00°. Symmetry generates all atoms from La at (0.1658, 0.0000, 0.3316), Pm at (0.0000, 0.5000, 0.0000), Er at (0.0000, 0.5000, 0.5000), Er at (0.1674, 0.0000, 0.8330), Se at (0.0058, 0.0000, 0.7422), Se at (0.1618, 0.5000, 0.5954) and Se at (0.1695, 0.5000, 0.0684).

***

Computed, not measured: a relaxed structure of LaPmErSe3 at the GGA-PBE level of DFT.

For the uncorrected formation energy, the calculation gives -1.809 eV/atom. Its density of states at the Fermi level is 7.69 states/eV per cell.

It has space group P2_1/m (No. 11), with a = 7.2623 Å, b = 4.0924 Å, c = 10.8490 Å, α = 90.00°, β = 102.89° and γ = 90.00°. Symmetry generates all atoms from La at (0.1600, 0.2500, 0.1937), Pm at (0.2635, 0.7500, 0.5571), Er at (0.3785, 0.2500, 0.8699), Se at (0.0504, 0.2500, 0.6707), Se at (0.2293, 0.7500, 0.9973) and Se at (0.4468, 0.7500, 0.3394).

***

Computed, not measured: a relaxed structure of La3PmSm6Er2 at the GGA-PBE level of DFT.

The energy relative to the elements is 21 meV per atom. Its density of states at the Fermi level is 38.31 states/eV per cell.

It has space group C2/m (No. 12), with a = 6.3021 Å, b = 10.9224 Å, c = 12.0889 Å, α = 90.00°, β = 100.06° and γ = 90.00°. Symmetry generates all atoms from La at (0.0000, 0.0000, 0.0000), La at (0.0000, 0.3327, 0.0000), Pm at (0.0000, 0.5000, 0.5000), Sm at (0.2470, 0.0000, 0.7445), Sm at (0.2485, 0.3328, 0.7443) and Er at (0.0000, 0.1667, 0.5000).

***

Computed, not measured: a relaxed structure of LaPm3Sm6Er2 at the GGA-PBE level of DFT.

The energy relative to the elements is 19 meV per atom. Its density of states at the Fermi level is 34.46 states/eV per cell.

It has space group C2/m (No. 12), with a = 6.2795 Å, b = 10.8715 Å, c = 12.0435 Å, α = 90.00°, β = 100.02° and γ = 90.00°. Symmetry generates all atoms from La at (0.0000, 0.0000, 0.0000), Pm at (0.0000, 0.1672, 0.5000), Pm at (0.0000, 0.5000, 0.5000), Sm at (0.2483, 0.5000, 0.2490), Sm at (0.2494, 0.3326, 0.7512) and Er at (0.0000, 0.3335, 0.0000).

***

Computed, not measured: a relaxed structure of LaPm2Sm2Er2 at the GGA-PBE level of DFT.

The energy relative to the elements is 89 meV per atom. Its density of states at the Fermi level is 24.76 states/eV per cell.

It has space group C2/m (No. 12), with a = 11.7769 Å, b = 3.5617 Å, c = 12.0125 Å, α = 90.00°, β = 109.52° and γ = 90.00°. Symmetry generates all atoms from La at (0.0000, 0.0000, 0.0000), Pm at (0.0527, 0.5000, 0.2725), Sm at (0.1681, 0.5000, 0.5827) and Er at (0.2233, 0.0000, 0.8613).

***

Computed, not measured: a relaxed structure of LaPmSmEr at the GGA-PBE level of DFT.

The energy relative to the elements is 26 meV per atom. Its density of states at the Fermi level is 4.66 states/eV per cell.

It has space group P3m1 (No. 156), with a = 3.6463 Å, b = 3.6463 Å, c = 11.8011 Å, α = 90.00°, β = 90.00° and γ = 120.00°. Symmetry generates all atoms from La at (0.0000, 0.0000, 0.0000), Pm at (0.3333, 0.6667, 0.4934), Sm at (0.6667, 0.3333, 0.7428) and Er at (0.6667, 0.3333, 0.2508).

***

Computed, not measured: a relaxed structure of LaPm5Sm2Er at the GGA-PBE level of DFT.

The energy relative to the elements is 274 meV per atom. Its density of states at the Fermi level is 50.89 states/eV per cell.

It has space group I4/mcm (No. 140), with a = 8.9487 Å, b = 8.9487 Å, c = 15.6087 Å, α = 90.00°, β = 90.00° and γ = 90.00°. Symmetry generates all atoms from La at (0.0000, 0.0000, 0.2500), Pm at (0.0000, 0.0000, 0.0000), Pm at (0.2070, 0.2930, 0.1362), Sm at (0.1160, 0.3840, 0.5000) and Er at (0.0000, 0.5000, 0.2500).

***

Computed, not measured: a relaxed structure of La4Pm2SmEr2 at the GGA-PBE level of DFT.

The energy relative to the elements is 26 meV per atom. Its density of states at the Fermi level is 32.07 states/eV per cell.

It has space group C2/m (No. 12), with a = 15.5484 Å, b = 5.2032 Å, c = 8.1327 Å, α = 90.00°, β = 108.40° and γ = 90.00°. Symmetry generates all atoms from La at (0.0545, 0.0000, 0.3288), La at (0.2235, 0.5000, 0.3301), Pm at (0.1121, 0.5000, 0.6705), Sm at (0.0000, 0.5000, 0.0000) and Er at (0.1680, 0.0000, 0.9995).

***

Computed, not measured: a relaxed structure of LaPmSm2Er2 at the GGA-PBE level of DFT.

The energy relative to the elements is 265 meV per atom. Its density of states at the Fermi level is 21.15 states/eV per cell.

It has space group Pnnm (No. 58), with a = 6.5736 Å, b = 18.2690 Å, c = 3.4186 Å, α = 90.00°, β = 90.00° and γ = 90.00°. Symmetry generates all atoms from La at (0.0000, 0.0000, 0.0000), Pm at (0.0000, 0.5000, 0.0000), Sm at (0.2160, 0.1898, 0.0000) and Er at (0.2142, 0.3527, 0.5000).

***

Computed, not measured: a relaxed structure of La2PmSm5Er at the GGA-PBE level of DFT.

The energy relative to the elements is 252 meV per atom. Its density of states at the Fermi level is 54.07 states/eV per cell.

It has space group I4/mcm (No. 140), with a = 8.7200 Å, b = 8.7200 Å, c = 16.3037 Å, α = 90.00°, β = 90.00° and γ = 90.00°. Symmetry generates all atoms from La at (0.1193, 0.3807, 0.0000), Pm at (0.0000, 0.0000, 0.2500), Sm at (0.0000, 0.0000, 0.0000), Sm at (0.2184, 0.2816, 0.3573) and Er at (0.0000, 0.5000, 0.2500).